Record 1
DFT (PBE) results for a geometry-optimized Tl2HPdBr6 structure.

The space group is P2_1/c (No. 14) and the conventional cell measures 7.942, 6.734 and 13.285 Å, with angles of 90.00, 115.51 and 90.00 degrees. Symmetry generates all atoms from Tl at (0.247, 0.031, 0.232), H at (0.000, 0.000, 0.500), Pd at (0.500, 0.000, 0.000), Br at (0.065, 0.234, 0.480), Br at (0.358, 0.523, 0.294) and Br at (0.371, 0.678, 0.009).

For the electronic total energy, the calculation gives -2.771 eV/atom.

Record 2
DFT (PBE) results for a geometry-optimized PmHBr4 structure.

The space group is I4_1md (No. 109) and the conventional cell measures 9.812, 9.812 and 8.613 Å, with angles of 90.00, 90.00 and 90.00 degrees. Symmetry generates all atoms from Pm at (0.000, 0.000, 0.000), H at (0.000, 0.000, 0.695), Br at (0.000, 0.174, 0.727) and Br at (0.000, 0.204, 0.242).

For the electronic total energy, the calculation gives -3.720 eV/atom.

Record 3
DFT (PBE) results for a geometry-optimized PmH4Br4 structure.

The space group is I4/m (No. 87) and the conventional cell measures 10.038, 10.038 and 3.878 Å, with angles of 90.00, 90.00 and 90.00 degrees. Symmetry generates all atoms from Pm at (0.000, 0.000, 0.000), H at (0.052, 0.233, 0.000) and Br at (0.053, 0.239, 0.500).

For the electronic total energy, the calculation gives -2.997 eV/atom.

no.,density (g/cm³),DOS at the Fermi energy (states/eV per atom)
1,5.16,0.548
2,3.73,0.000
3,3.98,0.283